# 1
# Sr2FeIr, relaxed, DFT GGA-PBE
# **Crystal system**: tetragonal
# **E_form**: 343.0 meV/atom
data_Sr2FeIr
_cell_length_a 8.238
_cell_length_b 8.238
_cell_length_c 8.238
_cell_angle_alpha 94.73
_cell_angle_beta 94.73
_cell_angle_gamma 146.63
_space_group_name_H-M_alt 'P 1'
_space_group_IT_number 1
loop_
_space_group_symop_operation_xyz
'x,y,z'
loop_
_atom_site_label
_atom_site_type_symbol
_atom_site_fract_x
_atom_site_fract_y
_atom_site_fract_z
Sr1 Sr 0.375 0.052 0.177
Sr2 Sr 0.802 0.625 0.677
Sr3 Sr 0.875 0.198 0.823
Sr4 Sr 0.948 0.125 0.323
Fe1 Fe 0.250 0.750 0.500
Fe2 Fe 0.500 0.500 0.000
Ir1 Ir 0.000 0.000 0.000
Ir2 Ir 0.750 0.250 0.500


# 2
# KTmPaS4, relaxed, DFT GGA-PBE
# **Crystal system**: orthorhombic
# **Energy relative to the elements, uncorrected**: -1701 meV per atom
data_KTmPaS4
_cell_length_a 8.343
_cell_length_b 8.343
_cell_length_c 8.343
_cell_angle_alpha 120.72
_cell_angle_beta 118.91
_cell_angle_gamma 90.33
_space_group_name_H-M_alt 'P 1'
_space_group_IT_number 1
loop_
_space_group_symop_operation_xyz
'x,y,z'
loop_
_atom_site_label
_atom_site_type_symbol
_atom_site_fract_x
_atom_site_fract_y
_atom_site_fract_z
K1 K 0.382 0.132 0.250
K2 K 0.618 0.868 0.750
Tm1 Tm 0.000 0.000 0.500
Tm2 Tm 0.000 0.500 0.000
Pa1 Pa 0.000 0.500 0.500
Pa2 Pa 0.500 0.500 0.000
S1 S 0.190 0.730 0.460
S2 S 0.229 0.270 0.960
S3 S 0.232 0.269 0.537
S4 S 0.232 0.695 0.963
S5 S 0.768 0.305 0.037
S6 S 0.768 0.731 0.463
S7 S 0.771 0.730 0.040
S8 S 0.810 0.270 0.540


In Bohr magnetons per cell, the total magnetic moment values for the records above are, in order, 6.08 2.03.